Compound: Te2HPd
Source: the Alexandria database
Functional: PBE
Structure: relaxed

## Properties
For the electronic total energy, the calculation gives -12.81 eV/cell. For the spin magnetization, the calculation gives 0.00 μB/atom.

Cell: 8.7680 8.7680 8.7680 Å, 21.23 21.23 21.23°
Fractional coordinates of all 4 atoms:
Te 0.8991 0.8991 0.8991
Te 0.1009 0.1009 0.1009
Pd 0.0000 0.0000 0.0000
H 0.5000 0.5000 0.5000